# Tl6CdHg3

A relaxed structure of Tl6CdHg3 (PBE, Alexandria via LeMat-Bulk).

Energy above the most stable polymorph in this dataset = 0.006 eV per atom
Total energy = -1.580 eV per atom

a b c (Å): 6.6810 6.6810 6.6810
angles (deg): 88.06 88.06 88.06
Closest atoms and distances in Å follow each position.
Sites, in units of the cell vectors:
Tl: 0.7512 0.4351 0.0769  3 Hg 3.19-3.38, 1 Cd 3.29
Tl: 0.2500 0.5751 0.9325  1 Cd 3.19, 3 Hg 3.20-3.40
Tl: 0.4351 0.0769 0.7512  3 Hg 3.19-3.38, 1 Cd 3.29
Tl: 0.9325 0.2500 0.5751  1 Cd 3.19, 3 Hg 3.20-3.40
Tl: 0.5751 0.9325 0.2500  1 Cd 3.19, 3 Hg 3.20-3.40
Tl: 0.0769 0.7512 0.4351  3 Hg 3.19-3.38, 1 Cd 3.29
Hg: 0.1159 0.1159 0.1159  1 Cd 2.92, 1 Hg 3.05, 3 Tl 3.19
Hg: 0.3710 0.3710 0.3710  2 Hg 2.99-3.05, 6 Tl 3.19-3.30
Hg: 0.6209 0.6209 0.6209  1 Hg 2.99, 1 Cd 3.00, 3 Tl 3.20
Cd: 0.8715 0.8715 0.8715  2 Hg 2.92-3.00, 3 Tl 3.19


# Sr3SbAs2Pd9

A relaxed structure of Sr3SbAs2Pd9 (PBE, Alexandria via LeMat-Bulk).

Total energy = -4.910 eV per atom
Uncorrected formation energy = -0.56 eV/atom

a b c (Å): 6.6141 6.6141 9.1009
angles (deg): 90.00 90.00 120.00
Closest atoms and distances in Å follow each position.
Sites, in units of the cell vectors:
Pd: 0.8550 0.7099 0.7195  1 As 2.38, 1 Sb 2.60
Pd: 0.1451 0.8550 0.2805  1 As 2.38, 1 Sb 2.60
Pd: 0.1451 0.2901 0.2805  1 As 2.38, 1 Sb 2.60
Pd: 0.0000 0.5000 0.0000  2 As 2.46
Pd: 0.7099 0.8550 0.2805  1 As 2.38, 1 Sb 2.60
Pd: 0.5000 0.5000 0.0000  2 As 2.46
Pd: 0.2901 0.1451 0.7195  1 As 2.38, 1 Sb 2.60
Pd: 0.8550 0.1451 0.7195  1 As 2.38, 1 Sb 2.60
Pd: 0.5000 0.0000 0.0000  2 As 2.46
As: 0.6667 0.3333 0.8289  6 Pd 2.38-2.46
As: 0.3333 0.6667 0.1711  6 Pd 2.38-2.46
Sr: 0.6667 0.3333 0.3236  9 Pd 3.34-3.51
Sr: 0.0000 0.0000 0.0000  12 Pd 3.05-3.31
Sr: 0.3333 0.6667 0.6764  9 Pd 3.34-3.51
Sb: 0.0000 0.0000 0.5000  6 Pd 2.60


# Ce3Zn5O12

A relaxed structure of Ce3Zn5O12 (PBE, Alexandria via LeMat-Bulk).

Total energy = -6.285 eV per atom
Uncorrected formation energy = -2.10 eV/atom

a b c (Å): 10.9431 10.9431 10.9431
angles (deg): 109.47 109.47 109.47
Closest atoms and distances in Å follow each position.
Sites, in units of the cell vectors:
O: 0.9092 0.0840 0.8698  2 Zn 1.95-2.10
O: 0.1747 0.0840 0.7141  2 Zn 1.95-2.10
O: 0.8253 0.9092 0.0394  2 Zn 1.95-2.10
O: 0.0908 0.9160 0.1302  2 Zn 1.95-2.10
O: 0.0908 0.1747 0.4606  2 Zn 1.95-2.10
O: 0.8698 0.5840 0.9092  2 Zn 1.95-2.10
O: 0.9606 0.3698 0.2859  2 Zn 1.95-2.10
O: 0.0840 0.9092 0.3698  2 Zn 1.95-2.10
O: 0.5840 0.8698 0.4092  2 Zn 1.95-2.10
O: 0.4606 0.7859 0.8698  2 Zn 1.95-2.10
O: 0.4160 0.1302 0.5908  2 Zn 1.95-2.10
O: 0.3253 0.7859 0.4160  2 Zn 1.95-2.10
O: 0.9160 0.0908 0.6302  2 Zn 1.95-2.10
O: 0.4606 0.6747 0.0908  2 Zn 1.95-2.10
O: 0.9606 0.5908 0.1747  2 Zn 1.95-2.10
O: 0.8253 0.9160 0.2859  2 Zn 1.95-2.10
O: 0.7141 0.1302 0.0394  2 Zn 1.95-2.10
O: 0.9160 0.8253 0.7859  2 Zn 1.95-2.10
O: 0.8698 0.2859 0.4606  2 Zn 1.95-2.10
O: 0.2859 0.4160 0.8253  2 Zn 1.95-2.10
O: 0.3698 0.4092 0.0840  2 Zn 1.95-2.10
O: 0.5908 0.9606 0.6747  2 Zn 1.95-2.10
O: 0.3698 0.9606 0.7859  2 Zn 1.95-2.10
O: 0.6747 0.2141 0.5840  2 Zn 1.95-2.10
O: 0.5908 0.6302 0.4160  2 Zn 1.95-2.10
O: 0.2141 0.5394 0.6302  2 Zn 1.95-2.10
O: 0.1302 0.4160 0.0908  2 Zn 1.95-2.10
O: 0.2859 0.8698 0.9606  2 Zn 1.95-2.10
O: 0.2141 0.6747 0.0840  2 Zn 1.95-2.10
O: 0.5840 0.7141 0.6747  2 Zn 1.95-2.10
O: 0.1747 0.0908 0.9606  2 Zn 1.95-2.10
O: 0.4160 0.2859 0.3253  2 Zn 1.95-2.10
O: 0.4092 0.0394 0.3253  2 Zn 1.95-2.10
O: 0.7141 0.5840 0.1747  2 Zn 1.95-2.10
O: 0.6302 0.5908 0.9160  2 Zn 1.95-2.10
O: 0.3253 0.5394 0.4092  2 Zn 1.95-2.10
O: 0.6747 0.4606 0.5908  2 Zn 1.95-2.10
O: 0.5394 0.3253 0.9092  2 Zn 1.95-2.10
O: 0.9092 0.8253 0.5394  2 Zn 1.95-2.10
O: 0.1302 0.7141 0.5394  2 Zn 1.95-2.10
O: 0.0394 0.4092 0.8253  2 Zn 1.95-2.10
O: 0.6302 0.0394 0.2141  2 Zn 1.95-2.10
O: 0.7859 0.3253 0.9160  2 Zn 1.95-2.10
O: 0.7859 0.4606 0.3698  2 Zn 1.95-2.10
O: 0.0840 0.1747 0.2141  2 Zn 1.95-2.10
O: 0.5394 0.2141 0.1302  2 Zn 1.95-2.10
O: 0.0394 0.6302 0.7141  2 Zn 1.95-2.10
O: 0.4092 0.3698 0.5840  2 Zn 1.95-2.10
Zn: 0.7500 0.1250 0.8750  4 O 1.95
Zn: 0.5000 0.0000 0.5000  6 O 2.10
Zn: 0.2500 0.8750 0.1250  4 O 1.95
Zn: 0.1250 0.7500 0.3750  4 O 1.95
Zn: 0.3750 0.1250 0.7500  4 O 1.95
Zn: 0.6250 0.7500 0.8750  4 O 1.95
Zn: 0.6250 0.8750 0.2500  4 O 1.95
Zn: 0.8750 0.2500 0.6250  4 O 1.95
Zn: 0.0000 0.0000 0.5000  6 O 2.10
Zn: 0.1250 0.3750 0.2500  4 O 1.95
Zn: 0.0000 0.5000 0.5000  6 O 2.10
Zn: 0.2500 0.3750 0.6250  4 O 1.95
Zn: 0.0000 0.5000 0.0000  6 O 2.10
Zn: 0.8750 0.6250 0.7500  4 O 1.95
Zn: 0.5000 0.5000 0.0000  6 O 2.10
Zn: 0.3750 0.2500 0.1250  4 O 1.95
Zn: 0.7500 0.6250 0.3750  4 O 1.95
Zn: 0.5000 0.0000 0.0000  6 O 2.10
Zn: 0.5000 0.5000 0.5000  6 O 2.10
Zn: 0.0000 0.0000 0.0000  6 O 2.10
Ce: 0.2500 0.1250 0.3750  8 O 2.36-2.42
Ce: 0.6250 0.3750 0.7500  8 O 2.36-2.42
Ce: 0.7500 0.3750 0.1250  8 O 2.36-2.42
Ce: 0.2500 0.6250 0.8750  8 O 2.36-2.42
Ce: 0.3750 0.6250 0.2500  8 O 2.36-2.42
Ce: 0.3750 0.7500 0.6250  8 O 2.36-2.42
Ce: 0.6250 0.2500 0.3750  8 O 2.36-2.42
Ce: 0.8750 0.7500 0.1250  8 O 2.36-2.42
Ce: 0.1250 0.8750 0.7500  8 O 2.36-2.42
Ce: 0.7500 0.8750 0.6250  8 O 2.36-2.42
Ce: 0.1250 0.2500 0.8750  8 O 2.36-2.42
Ce: 0.8750 0.1250 0.2500  8 O 2.36-2.42


# TlZnIO2

A relaxed structure of TlZnIO2 (PBE, Alexandria via LeMat-Bulk).

Energy above the most stable polymorph in this dataset = 0.131 eV per atom
Total energy = -2.875 eV per atom
Uncorrected formation energy = 0.15 eV/atom

a b c (Å): 4.1403 7.2829 4.1403
angles (deg): 90.00 90.00 90.00
Closest atoms and distances in Å follow each position.
Sites, in units of the cell vectors:
I: 0.5000 0.5000 0.5000  4 Zn 2.93
Tl: 0.0000 0.0000 0.0000  4 O 2.07
Zn: 0.0000 0.5000 0.0000  4 I 2.93
O: 0.5000 0.0000 0.0000  2 Tl 2.07
O: 0.0000 0.0000 0.5000  2 Tl 2.07


# LiLa2ScSe5

A relaxed structure of LiLa2ScSe5 (PBE, Alexandria via LeMat-Bulk).

Total energy = -5.753 eV per atom
Uncorrected formation energy = -1.81 eV/atom

a b c (Å): 4.1540 8.8922 12.2752
angles (deg): 90.00 90.00 103.51
Closest atoms and distances in Å follow each position.
Sites, in units of the cell vectors:
Se: 0.2836 0.5673 0.6604  2 Sc 2.79, 3 La 3.08-3.12
Se: 0.5029 0.0057 0.2786  1 Li 2.45
Se: 0.6910 0.3820 0.8594  1 Li 2.68, 2 Sc 2.79
Se: 0.7164 0.4327 0.1604  2 Sc 2.79, 3 La 3.08-3.12
Se: 0.0534 0.1068 0.0641  2 Li 2.43, 1 Sc 2.60
Se: 0.3090 0.6180 0.3594  1 Li 2.68, 2 Sc 2.79
Se: 0.9466 0.8932 0.5641  2 Li 2.43, 1 Sc 2.60
Se: 0.3576 0.7151 0.0000  1 Sc 2.75
Se: 0.4971 0.9943 0.7786  1 Li 2.45
Se: 0.6424 0.2849 0.5000  1 Sc 2.75
Sc: 0.8012 0.6025 0.5110  6 Se 2.60-2.79
Sc: 0.1988 0.3975 0.0110  6 Se 2.60-2.79
La: 0.1064 0.2129 0.6851  8 Se 3.03-3.32
La: 0.8936 0.7871 0.1851  8 Se 3.03-3.32
La: 0.8715 0.7430 0.8038  8 Se 3.02-3.22
La: 0.1285 0.2570 0.3038  8 Se 3.02-3.22
Li: 0.4459 0.8918 0.4615  4 Se 2.43-2.68
Li: 0.5541 0.1082 0.9615  4 Se 2.43-2.68


# Ce2AlRh

A relaxed structure of Ce2AlRh (PBE, Alexandria via LeMat-Bulk).

Energy above the most stable polymorph in this dataset = 0.000 eV per atom
Total energy = -6.224 eV per atom

a b c (Å): 4.3882 4.3535 4.3535
angles (deg): 90.00 90.00 90.00
Closest atoms and distances in Å follow each position.
Sites, in units of the cell vectors:
Ce: 0.0000 0.0000 0.5000  4 Ce 3.08, 4 Al 3.09, 4 Rh 3.09
Ce: 0.0000 0.5000 0.0000  4 Ce 3.08, 4 Al 3.09, 4 Rh 3.09
Rh: 0.5000 0.0000 0.0000  4 Al 3.08, 8 Ce 3.09
Al: 0.5000 0.5000 0.5000  4 Rh 3.08, 8 Ce 3.09


# Nd3Dy5Er2

A relaxed structure of Nd3Dy5Er2 (PBE, Alexandria via LeMat-Bulk).

Energy above the most stable polymorph in this dataset = 0.000 eV per atom
Total energy = -4.600 eV per atom

a b c (Å): 6.6647 10.1335 10.1335
angles (deg): 107.66 87.68 87.68
Closest atoms and distances in Å follow each position.
Sites, in units of the cell vectors:
Dy: 0.5016 0.7109 0.7852  6 Dy 3.38-3.55, 2 Er 3.40-3.55, 2 Nd 3.54-3.55
Dy: 0.3770 0.7749 0.4735  2 Er 3.24-3.51, 5 Dy 3.38-3.54
Dy: 0.1230 0.5265 0.2251  2 Er 3.24-3.51, 5 Dy 3.38-3.54
Dy: 0.6230 0.2251 0.5265  2 Er 3.24-3.51, 5 Dy 3.38-3.54
Dy: 0.4984 0.2891 0.2148  6 Dy 3.38-3.55, 2 Er 3.40-3.55, 2 Nd 3.54-3.55
Dy: 0.7500 0.5353 0.4647  10 Dy 3.38-3.53
Dy: 0.2500 0.4647 0.5353  10 Dy 3.38-3.53
Dy: 0.8770 0.4735 0.7749  2 Er 3.24-3.51, 5 Dy 3.38-3.54
Dy: 0.9984 0.2148 0.2891  6 Dy 3.38-3.55, 2 Er 3.40-3.55, 2 Nd 3.54-3.55
Dy: 0.0016 0.7852 0.7109  6 Dy 3.38-3.55, 2 Er 3.40-3.55, 2 Nd 3.54-3.55
Nd: 0.3779 0.3762 0.8736  2 Nd 3.50-3.54, 7 Dy 3.67-3.92, 4 Er 3.69-3.73
Nd: 0.8779 0.8736 0.3762  2 Nd 3.50-3.54, 7 Dy 3.67-3.92, 4 Er 3.68-3.73
Nd: 0.2500 0.0354 0.9646  4 Er 3.40-3.53, 2 Nd 3.53, 4 Dy 3.54-3.55
Nd: 0.6221 0.6238 0.1264  2 Nd 3.50-3.54, 7 Dy 3.67-3.92, 4 Er 3.69-3.73
Nd: 0.1221 0.1264 0.6238  2 Nd 3.50-3.54, 7 Dy 3.67-3.92, 4 Er 3.68-3.73
Nd: 0.7500 0.9646 0.0354  4 Er 3.40-3.53, 2 Nd 3.53, 4 Dy 3.54-3.55
Er: 0.6242 0.0247 0.7227  4 Dy 3.24-3.55, 2 Nd 3.40-3.53, 1 Er 3.56
Er: 0.3758 0.9753 0.2773  4 Dy 3.24-3.55, 2 Nd 3.40-3.53, 1 Er 3.56
Er: 0.1242 0.7227 0.0247  4 Dy 3.24-3.55, 2 Nd 3.40-3.53, 1 Er 3.56
Er: 0.8758 0.2773 0.9753  4 Dy 3.24-3.55, 2 Nd 3.40-3.53, 1 Er 3.56


# VCo3H

A relaxed structure of VCo3H (PBE, Alexandria via LeMat-Bulk).

Energy above the most stable polymorph in this dataset = 0.370 eV per atom
Total energy = -6.537 eV per atom

a b c (Å): 6.6061 6.6061 6.6061
angles (deg): 60.00 60.00 60.00
Closest atoms and distances in Å follow each position.
Sites, in units of the cell vectors:
Co: 0.4433 0.0567 0.4433  2 H 1.77
Co: 0.0567 0.4433 0.4433  2 H 1.77
Co: 0.1933 0.1933 0.8067  2 H 1.77
Co: 0.8067 0.8067 0.1933  2 H 1.77
Co: 0.0567 0.4433 0.0567  2 H 1.77
Co: 0.0567 0.0567 0.4433  2 H 1.77
Co: 0.8067 0.1933 0.1933  2 H 1.77
Co: 0.4433 0.4433 0.0567  2 H 1.77
Co: 0.4433 0.0567 0.0567  2 H 1.77
Co: 0.1933 0.8067 0.8067  2 H 1.77
Co: 0.8067 0.1933 0.8067  2 H 1.77
Co: 0.1933 0.8067 0.1933  2 H 1.77
V: 0.6250 0.6250 0.6250  6 Co 2.37
V: 0.6250 0.1250 0.6250  6 Co 2.37
V: 0.1250 0.6250 0.6250  6 Co 2.37
V: 0.6250 0.6250 0.1250  6 Co 2.37
H: 0.1250 0.1250 0.1250  6 Co 1.77
H: 0.6250 0.1250 0.1250  6 Co 1.77
H: 0.1250 0.6250 0.1250  6 Co 1.77
H: 0.1250 0.1250 0.6250  6 Co 1.77


# NiMo3N

A relaxed structure of NiMo3N (PBE, Alexandria via LeMat-Bulk).

Energy above the most stable polymorph in this dataset = 0.039 eV per atom
Total energy = -9.362 eV per atom
Uncorrected formation energy = -0.04 eV/atom

a b c (Å): 4.0625 4.0625 4.0625
angles (deg): 90.00 90.00 90.00
Closest atoms and distances in Å follow each position.
Sites, in units of the cell vectors:
Mo: 0.5000 0.0000 0.0000  2 N 2.03
Mo: 0.0000 0.0000 0.5000  2 N 2.03
Mo: 0.0000 0.5000 0.0000  2 N 2.03
N: 0.0000 0.0000 0.0000  6 Mo 2.03
Ni: 0.5000 0.5000 0.5000  12 Mo 2.87


# Y3HfCd

A relaxed structure of Y3HfCd (PBE, Alexandria via LeMat-Bulk).

Energy above the most stable polymorph in this dataset = 0.135 eV per atom
Total energy = -5.275 eV per atom

a b c (Å): 5.5617 5.5617 5.5617
angles (deg): 90.00 90.00 90.00
Closest atoms and distances in Å follow each position.
Sites, in units of the cell vectors:
Cd: 0.0000 0.0000 0.0000  6 Y 2.78
Hf: 0.5000 0.5000 0.5000  12 Y 3.93
Y: 0.0000 0.5000 0.0000  2 Cd 2.78
Y: 0.0000 0.0000 0.5000  2 Cd 2.78
Y: 0.5000 0.0000 0.0000  2 Cd 2.78


- Which of these has the lowest total energy?
  NiMo3N